1.
A plane-wave DFT calculation with PBE was carried out for a relaxed PrUN2 crystal.

Summary:
space-group type	No. 123

Structure (POSCAR):
```
PrUN2
1.0
-3.021 -1.449 1.233
1.757 -3.013 0.765
1.026 1.761 4.584
Pr U N
1 1 2
Direct
0.000 0.000 0.500
0.500 0.500 0.000
0.000 0.000 0.000
0.500 0.500 0.500
```

=====

2.
A plane-wave DFT calculation with PBE was carried out for a relaxed PrUN3 crystal.

Summary:
space-group type	No. 221

Structure (POSCAR):
```
PrUN3
1.0
-0.725 -4.161 0.641
-0.163 -0.622 -4.223
4.207 -0.741 -0.053
Pr U N
1 1 3
Direct
0.500 0.500 0.500
0.000 0.000 0.000
0.000 0.500 0.000
0.000 0.000 0.500
0.500 0.000 0.000
```

=====

3.
A plane-wave DFT calculation with PBE was carried out for a relaxed Pr2UN crystal.

Summary:
space-group type	No. 166

Structure (POSCAR):
```
Pr2UN
1.0
-3.372 0.567 0.495
-1.385 -0.447 3.134
0.301 9.367 3.375
Pr U N
2 1 1
Direct
0.117 0.117 0.650
0.883 0.883 0.350
0.000 0.000 0.000
0.500 0.500 0.500
```

=====

4.
A plane-wave DFT calculation with PBE was carried out for a relaxed PrUN2 crystal.

Summary:
space-group type	No. 160

Structure (POSCAR):
```
PrUN2
1.0
-2.042 -2.769 0.607
0.629 -3.025 -1.630
3.215 -3.642 4.254
Pr U N
1 1 2
Direct
0.492 0.492 0.524
0.669 0.669 0.993
0.071 0.071 0.788
0.269 0.269 0.194
```

=====

5.
A plane-wave DFT calculation with PBE was carried out for a relaxed Pr4UN4 crystal.

Summary:
space-group type	No. 121

Structure (POSCAR):
```
Pr4UN4
1.0
5.840 0.000 0.000
0.000 5.840 0.000
-2.920 -2.920 5.833
Pr U N
4 1 4
Direct
0.500 0.000 0.000
0.000 0.500 0.000
0.288 0.288 0.577
0.712 0.712 0.423
0.000 0.000 0.000
0.672 0.672 0.740
0.328 0.932 0.260
0.068 0.068 0.740
0.932 0.328 0.260
```

=====

6.
A plane-wave DFT calculation with PBE was carried out for a relaxed PrUN2 crystal.

Summary:
space-group type	No. 166

Structure (POSCAR):
```
PrUN2
1.0
3.533 0.000 0.000
1.767 3.060 0.000
1.767 1.020 5.851
Pr U N
1 1 2
Direct
0.000 0.000 0.000
0.500 0.500 0.500
0.766 0.766 0.703
0.234 0.234 0.297
```

=====

7.
A plane-wave DFT calculation with PBE was carried out for a relaxed PrUN3 crystal.

Summary:
space-group type	No. 15

Structure (POSCAR):
```
PrUN3
1.0
5.737 0.057 1.683
2.609 5.109 1.683
0.034 0.021 10.371
Pr U N
4 4 12
Direct
0.890 0.379 0.866
0.621 0.110 0.634
0.110 0.621 0.134
0.379 0.890 0.366
0.000 0.500 0.500
0.500 0.000 0.000
0.748 0.252 0.250
0.252 0.748 0.750
0.847 0.841 0.846
0.159 0.153 0.654
0.153 0.159 0.154
0.841 0.847 0.346
0.658 0.651 0.656
0.349 0.342 0.844
0.342 0.349 0.344
0.651 0.658 0.156
0.319 0.826 0.927
0.174 0.681 0.573
0.826 0.319 0.427
0.681 0.174 0.073
```

=====

8.
A plane-wave DFT calculation with PBE was carried out for a relaxed PrU6N8 crystal.

Summary:
space-group type	No. 148

Structure (POSCAR):
```
PrU6N8
1.0
6.135 -0.419 -0.432
-0.610 6.119 -0.432
-0.610 -0.629 6.102
Pr U N
1 6 8
Direct
0.000 0.000 0.000
0.728 0.437 0.880
0.437 0.880 0.728
0.880 0.728 0.437
0.272 0.563 0.120
0.563 0.120 0.272
0.120 0.272 0.563
0.642 0.642 0.642
0.358 0.358 0.358
0.629 0.769 0.098
0.769 0.098 0.629
0.098 0.629 0.769
0.371 0.231 0.902
0.231 0.902 0.371
0.902 0.371 0.231
```

=====

We obtain formation energy without anion corrections values of -467 -587 -52 -447 -598 -527 -672 -1660 kJ/mol of formula units for the records listed above, in that order.
We obtain total energy values of -37.56 -47.13 -29.71 -37.35 -69.91 -38.18 -192.05 -156.32 eV/cell for the records listed above, in that order.